The following is a DFT calculation (PBE-GGA) of K2RbNa8 after structural relaxation.

Computed properties:
total magnetic moment	0.000	μB/f.u.
formation enthalpy at 0 K	0.034	eV per atom
DOS at the Fermi energy	0.441	states/eV/atom

Geometry as CIF:
```
data_K2RbNa8
_cell_length_a 20.560
_cell_length_b 5.903
_cell_length_c 8.743
_cell_angle_alpha 90.00
_cell_angle_beta 103.79
_cell_angle_gamma 90.00
_space_group_name_H-M_alt 'C 1 2/m 1'
_space_group_IT_number 12
loop_
_space_group_symop_operation_xyz
'x,y,z'
'-x,-y,-z'
'-x,y,-z'
'x,-y,z'
'x+1/2,y+1/2,z'
'-x+1/2,-y+1/2,-z'
'-x+1/2,y+1/2,-z'
'x+1/2,-y+1/2,z'
loop_
_atom_site_label
_atom_site_type_symbol
_atom_site_fract_x
_atom_site_fract_y
_atom_site_fract_z
K1 K 0.222 0.000 0.145
Rb1 Rb 0.000 0.500 0.500
Na1 Na 0.037 0.000 0.207
Na2 Na 0.085 0.500 0.974
Na3 Na 0.140 0.000 0.656
Na4 Na 0.182 0.500 0.405
```

=====

The following is a DFT calculation (PBE-GGA) of Rb2TeC2 after structural relaxation.

Computed properties:
total magnetic moment	1.152	μB/f.u.
DOS at the Fermi energy	0.750	states/eV/atom
formation energy (no corrections)	0.598	eV/atom

Geometry as CIF:
```
data_Rb2TeC2
_cell_length_a 9.815
_cell_length_b 9.815
_cell_length_c 3.662
_cell_angle_alpha 90.00
_cell_angle_beta 90.00
_cell_angle_gamma 90.00
_space_group_name_H-M_alt 'P 4/m b m'
_space_group_IT_number 127
_space_group_name_Hall '-P 4 2ab'
loop_
_atom_site_label
_atom_site_type_symbol
_atom_site_fract_x
_atom_site_fract_y
_atom_site_fract_z
Rb1 Rb 0.178 0.322 0.000
Te1 Te 0.000 0.000 0.000
C1 C 0.046 0.546 0.500
```

=====

The following is a DFT calculation (PBE-GGA) of CaU2Se4 after structural relaxation.

Computed properties:
total magnetic moment	0.432	μB/f.u.
DOS at the Fermi energy	1.898	states/eV/atom
formation energy (no corrections)	-1.291	eV/atom

Geometry as CIF:
```
data_CaU2Se4
_cell_length_a 8.220
_cell_length_b 8.355
_cell_length_c 11.680
_cell_angle_alpha 90.00
_cell_angle_beta 90.00
_cell_angle_gamma 90.00
_space_group_name_H-M_alt 'I m m a'
_space_group_IT_number 74
_space_group_name_Hall '-I 2b 2'
loop_
_atom_site_label
_atom_site_type_symbol
_atom_site_fract_x
_atom_site_fract_y
_atom_site_fract_z
Ca1 Ca 0.250 0.250 0.250
U1 U 0.000 0.000 0.000
U2 U 0.250 0.250 0.750
Se1 Se 0.000 0.003 0.749
Se2 Se 0.242 0.250 0.997
```

=====

The following is a DFT calculation (PBE-GGA) of As2Ru after structural relaxation.

Computed properties:
total magnetic moment	0.001	μB/f.u.
formation enthalpy at 0 K	-0.073	eV per atom
DOS at the Fermi energy	0.740	states/eV/atom

Geometry as CIF:
```
data_As2Ru
_cell_length_a 3.001
_cell_length_b 3.001
_cell_length_c 23.685
_cell_angle_alpha 90.00
_cell_angle_beta 90.00
_cell_angle_gamma 90.00
_space_group_name_H-M_alt 'I 41/a m d'
_space_group_IT_number 141
loop_
_space_group_symop_operation_xyz
'x,y,z'
'-x,-y,-z'
'-y+1/4,x+3/4,z+1/4'
'y+1/4,-x+3/4,-z+1/4'
'-x+1/2,-y,z+1/2'
'x+1/2,y,-z+1/2'
'y+1/4,-x+1/4,z+3/4'
'-y+1/4,x+1/4,-z+3/4'
'x,-y,-z'
'-x,y,z'
'-y+1/4,-x+1/4,-z+3/4'
'y+1/4,x+1/4,z+3/4'
'-x+1/2,y,-z+1/2'
'x+1/2,-y,z+1/2'
'y+1/4,x+3/4,-z+1/4'
'-y+1/4,-x+3/4,z+1/4'
'x+1/2,y+1/2,z+1/2'
'-x+1/2,-y+1/2,-z+1/2'
'-y+3/4,x+1/4,z+3/4'
'y+3/4,-x+1/4,-z+3/4'
'-x,-y+1/2,z'
'x,y+1/2,-z'
'y+3/4,-x+3/4,z+1/4'
'-y+3/4,x+3/4,-z+1/4'
'x+1/2,-y+1/2,-z+1/2'
'-x+1/2,y+1/2,z+1/2'
'-y+3/4,-x+3/4,-z+1/4'
'y+3/4,x+3/4,z+1/4'
'-x,y+1/2,-z'
'x,-y+1/2,z'
'y+3/4,x+1/4,-z+3/4'
'-y+3/4,-x+1/4,z+3/4'
loop_
_atom_site_label
_atom_site_type_symbol
_atom_site_fract_x
_atom_site_fract_y
_atom_site_fract_z
As1 As 0.000 0.250 0.309
Ru1 Ru 0.000 0.250 0.875
```

=====

The following is a DFT calculation (PBE-GGA) of Sb2TeWN after structural relaxation.

Computed properties:
total magnetic moment	0.000	μB/f.u.
DOS at the Fermi energy	1.970	states/eV/atom
formation energy (no corrections)	1.674	eV/atom

Geometry as CIF:
```
data_Sb2TeWN
_cell_length_a 5.201
_cell_length_b 5.201
_cell_length_c 5.144
_cell_angle_alpha 90.00
_cell_angle_beta 90.00
_cell_angle_gamma 90.00
_space_group_name_H-M_alt 'P 4/m m m'
_space_group_IT_number 123
_space_group_name_Hall '-P 4 2'
loop_
_atom_site_label
_atom_site_type_symbol
_atom_site_fract_x
_atom_site_fract_y
_atom_site_fract_z
Sb1 Sb 0.000 0.500 0.000
Te1 Te 0.000 0.000 0.500
W1 W 0.000 0.000 0.000
N1 N 0.500 0.500 0.500
```

=====

The following is a DFT calculation (PBE-GGA) of Nb5MoRu after structural relaxation.

Computed properties:
total magnetic moment	0.000	μB/f.u.
formation enthalpy at 0 K	0.246	eV per atom
DOS at the Fermi energy	1.043	states/eV/atom

Geometry as CIF:
```
data_Nb5MoRu
_cell_length_a 6.506
_cell_length_b 8.679
_cell_length_c 9.183
_cell_angle_alpha 90.00
_cell_angle_beta 103.37
_cell_angle_gamma 90.00
_space_group_name_H-M_alt 'C 1 2/c 1'
_space_group_IT_number 15
loop_
_space_group_symop_operation_xyz
'x,y,z'
'-x,-y,-z'
'-x,y,-z+1/2'
'x,-y,z+1/2'
'x+1/2,y+1/2,z'
'-x+1/2,-y+1/2,-z'
'-x+1/2,y+1/2,-z+1/2'
'x+1/2,-y+1/2,z+1/2'
loop_
_atom_site_label
_atom_site_type_symbol
_atom_site_fract_x
_atom_site_fract_y
_atom_site_fract_z
Nb1 Nb 0.000 0.131 0.250
Nb2 Nb 0.106 0.356 0.506
Nb3 Nb 0.200 0.183 0.826
Mo1 Mo 0.000 0.000 0.000
Ru1 Ru 0.000 0.488 0.750
```

=====

The following is a DFT calculation (PBE-GGA) of ScTcRu after structural relaxation.

Computed properties:
total magnetic moment	0.000	μB/f.u.
formation enthalpy at 0 K	-0.270	eV per atom
DOS at the Fermi energy	0.762	states/eV/atom

Geometry as CIF:
```
data_ScTcRu
_cell_length_a 3.122
_cell_length_b 13.841
_cell_length_c 4.433
_cell_angle_alpha 90.00
_cell_angle_beta 90.00
_cell_angle_gamma 90.00
_space_group_name_H-M_alt 'C m c m'
_space_group_IT_number 63
_space_group_name_Hall '-C 2c 2'
loop_
_atom_site_label
_atom_site_type_symbol
_atom_site_fract_x
_atom_site_fract_y
_atom_site_fract_z
Sc1 Sc 0.000 0.082 0.250
Tc1 Tc 0.000 0.246 0.750
Ru1 Ru 0.000 0.408 0.250
```

=====

The following is a DFT calculation (PBE-GGA) of Cd2AgAu6 after structural relaxation.

Computed properties:
total magnetic moment	0.000	μB/f.u.
formation enthalpy at 0 K	-0.109	eV per atom
DOS at the Fermi energy	0.245	states/eV/atom

Geometry as CIF:
```
data_Cd2AgAu6
_cell_length_a 8.900
_cell_length_b 8.900
_cell_length_c 4.209
_cell_angle_alpha 90.00
_cell_angle_beta 90.00
_cell_angle_gamma 90.00
_space_group_name_H-M_alt 'P 42/m n m'
_space_group_IT_number 136
_space_group_name_Hall '-P 4n 2n'
loop_
_atom_site_label
_atom_site_type_symbol
_atom_site_fract_x
_atom_site_fract_y
_atom_site_fract_z
Cd1 Cd 0.169 0.169 0.000
Ag1 Ag 0.000 0.000 0.500
Au1 Au 0.000 0.333 0.500
Au2 Au 0.163 0.837 0.000
```

=====

The following is a DFT calculation (PBE-GGA) of Li2La2PdO6 after structural relaxation.

Computed properties:
total magnetic moment	0.000	μB/f.u.
DOS at the Fermi energy	0.000	states/eV/atom
formation energy (no corrections)	-2.051	eV/atom

Geometry as CIF:
```
data_Li2La2PdO6
_cell_length_a 5.6830
_cell_length_b 5.6830
_cell_length_c 14.9683
_cell_angle_alpha 90.00
_cell_angle_beta 90.00
_cell_angle_gamma 120.00
_space_group_name_H-M_alt 'R -3 m'
_space_group_IT_number 166
_space_group_name_Hall '-R 3 2"'
loop_
_atom_site_label
_atom_site_type_symbol
_atom_site_fract_x
_atom_site_fract_y
_atom_site_fract_z
Li1 Li 0.0000 0.0000 0.0761
La1 La 0.0000 0.0000 0.2839
Pd1 Pd 0.0000 0.0000 0.5000
O1 O 0.0269 0.5135 0.2564
```

=====

The following is a DFT calculation (PBE-GGA) of Co4Ni2Pt after structural relaxation.

Computed properties:
total magnetic moment	9.673	μB/f.u.
formation enthalpy at 0 K	1.227	eV per atom
DOS at the Fermi energy	1.917	states/eV/atom

Geometry as CIF:
```
data_Co4Ni2Pt
_cell_length_a 4.526
_cell_length_b 4.526
_cell_length_c 11.626
_cell_angle_alpha 90.00
_cell_angle_beta 90.00
_cell_angle_gamma 90.00
_space_group_name_H-M_alt 'I 4/m m m'
_space_group_IT_number 139
_space_group_name_Hall '-I 4 2'
loop_
_atom_site_label
_atom_site_type_symbol
_atom_site_fract_x
_atom_site_fract_y
_atom_site_fract_z
Co1 Co 0.000 0.000 0.208
Co2 Co 0.000 0.500 0.000
Ni1 Ni 0.000 0.000 0.400
Pt1 Pt 0.000 0.000 0.000
```

=====

The following is a DFT calculation (PBE-GGA) of In2Te2O7 after structural relaxation.

Computed properties:
total magnetic moment	0.000	μB/f.u.
DOS at the Fermi energy	0.000	states/eV/atom
formation energy (no corrections)	-1.222	eV/atom

Geometry as CIF:
```
data_In2Te2O7
_cell_length_a 9.477
_cell_length_b 8.336
_cell_length_c 10.073
_cell_angle_alpha 90.00
_cell_angle_beta 114.88
_cell_angle_gamma 90.00
_space_group_name_H-M_alt 'C 1 2/c 1'
_space_group_IT_number 15
loop_
_space_group_symop_operation_xyz
'x,y,z'
'-x,-y,-z'
'-x,y,-z+1/2'
'x,-y,z+1/2'
'x+1/2,y+1/2,z'
'-x+1/2,-y+1/2,-z'
'-x+1/2,y+1/2,-z+1/2'
'x+1/2,-y+1/2,z+1/2'
loop_
_atom_site_label
_atom_site_type_symbol
_atom_site_fract_x
_atom_site_fract_y
_atom_site_fract_z
In1 In 0.133 0.074 0.441
Te1 Te 0.214 0.253 0.802
O1 O 0.000 0.077 0.750
O2 O 0.099 0.120 0.080
O3 O 0.190 0.426 0.078
O4 O 0.224 0.287 0.358
```

=====

no.,E (eV per cell)
1,-26.68
2,-41.07
3,-190.22
4,-75.17
5,-24.30
6,-274.95
7,-107.14
8,-50.66
9,-213.54
10,-74.88
11,-239.66